VASP calculation (PBE) on a geometry-optimized KSi4Cl structure.

Its total energy is -0.1392 Ha/atom. For the uncorrected formation energy, the calculation gives 0.318 eV/atom. The magnetization is 0.0 Bohr magnetons per cell.

The space group is F-43m (No. 216) and the conventional cell measures 7.6927, 7.6927 and 7.6927 Å, with angles of 90.00, 90.00 and 90.00 degrees. The asymmetric unit holds K at (0.0000, 0.0000, 0.0000), Si at (0.1243, 0.1243, 0.6243) and Cl at (0.2500, 0.2500, 0.2500).